# PBE MgNiW, optimized geometry
data_MgNiW
_cell_length_a 8.997
_cell_length_b 3.911
_cell_length_c 5.556
_cell_angle_alpha 90.00
_cell_angle_beta 113.20
_cell_angle_gamma 90.00
_space_group_name_H-M_alt 'C 1 m 1'
_space_group_IT_number 8
_space_group_name_Hall 'C -2y'
loop_
_atom_site_label
_atom_site_type_symbol
_atom_site_fract_x
_atom_site_fract_y
_atom_site_fract_z
_atom_site_occupancy
Mg1 Mg 0.000 0.000 0.000 1
Mg2 Mg 0.153 0.500 0.833 1
Ni1 Ni 0.023 0.000 0.496 1
Ni2 Ni 0.326 0.000 0.708 1
W1 W 0.213 0.500 0.383 1
W2 W 0.361 0.000 0.228 1
# Electronic total energy in eV per atom: -6.530